No. 1
A relaxed structure of HfMgSiOs, computed with PBE.

```
4
Lattice="0.0000 3.1951 3.1951 3.1951 0.0000 3.1951 3.1951 3.1951 0.0000" Properties=species:S:1:pos:R:3 pbc="T T T"
Hf 1.5975 1.5975 1.5975
Mg 4.7926 4.7926 4.7926
Os 0.0000 0.0000 0.0000
Si 3.1951 3.1951 3.1951
```

symmetry = No. 216
relative energy among the computed polymorphs = 0.105 eV/atom

---

No. 2
A relaxed structure of HfMgSiOs, computed with PBE.

```
4
Lattice="0.0000 3.1586 3.1586 3.1586 0.0000 3.1586 3.1586 3.1586 0.0000" Properties=species:S:1:pos:R:3 pbc="T T T"
Hf 0.0000 0.0000 0.0000
Mg 4.7379 4.7379 4.7379
Os 1.5793 1.5793 1.5793
Si 3.1586 3.1586 3.1586
```

symmetry = No. 216
relative energy among the computed polymorphs = 0.000 eV/atom

---

No. 3
A relaxed structure of HfMgPa, computed with PBE.

```
3
Lattice="4.2361 -1.5485 -1.7132 3.1943 -2.0632 2.9694 0.8875 -4.7314 -0.3226" Properties=species:S:1:pos:R:3 pbc="T T T"
Hf 2.0795 -2.0858 0.2334
Mg 0.0000 0.0000 0.0000
Pa 6.2384 -6.2573 0.7002
```

symmetry = No. 216
relative energy among the computed polymorphs = 0.000 eV/atom

---

No. 4
A relaxed structure of HfMg2Pb, computed with PBE.

```
4
Lattice="-4.3822 -2.1515 -1.4537 -4.0817 0.2309 3.0385 -3.9692 2.9226 -1.2846" Properties=species:S:1:pos:R:3 pbc="T T T"
Hf -3.1083 0.2505 0.0750
Mg 0.0000 0.0000 0.0000
Mg -9.3248 0.7515 0.2251
Pb -6.2166 0.5010 0.1501
```

energy = -15.76 eV for the cell shown
symmetry = No. 216

---

Number 1: total magnetization 0.00 Bohr magnetons per cell. Number 2: total magnetization 0.01 Bohr magnetons per cell. Number 3: total magnetization 0.05 Bohr magnetons per cell. Number 4: total magnetization 0.00 Bohr magnetons per cell.